Entry 1:
The following is a PBE-GGA calculation of crystalline Sm2NiP2N6 at its relaxed geometry, from the Alexandria database.

ΔE_f (raw): -534 meV per atom
D(E_F): 0.62 states/eV/cell
Calculated total energy: -81.9 eV/cell
Size of the total moment: 0.000 Bohr magnetons per cell

```
Sm2NiP2N6
1.0
2.693 1.555 5.157
-2.693 1.555 5.157
0.000 -3.110 5.157
Sm Ni P N
2 1 2 6
Direct
0.216 0.216 0.216
0.784 0.784 0.784
0.000 0.000 0.000
0.428 0.428 0.428
0.572 0.572 0.572
0.240 0.756 0.756
0.244 0.244 0.760
0.244 0.760 0.244
0.756 0.240 0.756
0.756 0.756 0.240
0.760 0.244 0.244
```



Entry 2:
The following is a PBE-GGA calculation of crystalline Ta3RhC at its relaxed geometry, from the Alexandria database.

DFT formation energy: -0.378 eV per atom
D(E_F): 6.38 states/eV/cell
Calculated total energy: -108.0 eV/cell
Size of the total moment: 0.000 Bohr magnetons per cell
Energy above the lowest structure with this stoichiometry: 0.0 kJ per mole of atoms

```
Ta3RhC
1.0
4.260 -5.831 0.000
4.260 5.831 0.000
0.000 0.000 3.084
Ta Rh C
6 2 2
Direct
0.165 0.419 0.500
0.205 0.795 0.000
0.419 0.165 0.500
0.581 0.835 0.500
0.795 0.205 0.000
0.835 0.581 0.500
0.000 0.000 0.500
0.500 0.500 0.000
0.000 0.500 0.000
0.500 0.000 0.000
```



Entry 3:
The following is a PBE-GGA calculation of crystalline Ce2Cd3Au4 at its relaxed geometry, from the Alexandria database.

DFT formation energy: -0.485 eV per atom
D(E_F): 14.80 states/eV/cell
Calculated total energy: -32.1 eV/cell
Size of the total moment: 1.517 Bohr magnetons per cell
Energy above the lowest structure with this stoichiometry: 0.0 kJ per mole of atoms

```
Ce2Cd3Au4
1.0
4.258 -2.451 0.000
4.258 2.451 0.000
-0.084 0.000 9.779
Ce Cd Au
2 3 4
Direct
0.169 0.169 0.220
0.831 0.831 0.780
0.164 0.164 0.579
0.500 0.500 0.000
0.836 0.836 0.421
0.166 0.166 0.906
0.496 0.496 0.645
0.504 0.504 0.355
0.834 0.834 0.094
```



Entry 4:
The following is a PBE-GGA calculation of crystalline LaSm8In6 at its relaxed geometry, from the Alexandria database.

DFT formation energy: -0.235 eV per atom
D(E_F): 23.37 states/eV/cell
Calculated total energy: -62.6 eV/cell
Size of the total moment: 0.000 Bohr magnetons per cell

```
LaSm8In6
1.0
4.627 2.672 6.575
-4.627 2.672 6.575
0.000 -5.343 6.575
La Sm In
1 8 6
Direct
0.000 0.000 0.000
0.116 0.444 0.784
0.216 0.884 0.556
0.332 0.332 0.332
0.444 0.784 0.116
0.556 0.216 0.884
0.668 0.668 0.668
0.784 0.116 0.444
0.884 0.556 0.216
0.057 0.716 0.396
0.284 0.604 0.943
0.396 0.057 0.716
0.604 0.943 0.284
0.716 0.396 0.057
0.943 0.284 0.604
```



Entry 5:
The following is a PBE-GGA calculation of crystalline AlBiH6Ru2 at its relaxed geometry, from the Alexandria database.

D(E_F): 5.97 states/eV/cell
Calculated total energy: -89.1 eV/cell
Size of the total moment: 0.000 Bohr magnetons per cell

```
AlBiH6Ru2
1.0
3.793 -4.491 0.000
3.793 4.491 0.000
-1.499 0.000 5.674
Al Bi H Ru
2 2 12 4
Direct
0.129 0.871 0.750
0.871 0.129 0.250
0.416 0.584 0.250
0.584 0.416 0.750
0.136 0.563 0.701
0.156 0.843 0.087
0.157 0.844 0.413
0.160 0.225 0.527
0.225 0.160 0.027
0.437 0.864 0.799
0.563 0.136 0.201
0.775 0.840 0.973
0.840 0.775 0.473
0.843 0.156 0.587
0.844 0.157 0.913
0.864 0.437 0.299
0.087 0.310 0.806
0.310 0.087 0.306
0.690 0.913 0.694
0.913 0.690 0.194
```



Entry 6:
The following is a PBE-GGA calculation of crystalline Zr4CrCo at its relaxed geometry, from the Alexandria database.

DFT formation energy: 0.779 eV per atom
D(E_F): 9.93 states/eV/cell
Calculated total energy: -46.2 eV/cell
Size of the total moment: 4.840 Bohr magnetons per cell

```
Zr4CrCo
1.0
0.000 3.981 3.981
3.981 0.000 3.981
3.981 3.981 0.000
Zr Cr Co
4 1 1
Direct
0.125 0.125 0.125
0.125 0.125 0.625
0.125 0.625 0.125
0.625 0.125 0.125
0.500 0.500 0.500
0.750 0.750 0.750
```



Mass density for the records above, in order: 6.48; 14.26; 11.43; 6.91; 7.63; 6.26 g cm⁻³